1.
# CdTe2

A geometry-optimized CdTe2 structure (PBE-GGA, Alexandria via LeMat-Bulk).

- Space group: I4/mmm
- E_tot: -0.08287 Ha/atom

Lattice parameters (Å, degrees): 3.267 3.267 16.557 90.00 90.00 90.00
Fractional coordinates of all 6 atoms:
1 Cd 0.000 0.000 0.000
2 Cd 0.500 0.500 0.500
3 Te 0.000 0.000 0.357
4 Te 0.000 0.000 0.643
5 Te 0.500 0.500 0.143
6 Te 0.500 0.500 0.857

***

2.
# Fe3Co5

A geometry-optimized Fe3Co5 structure (PBE-GGA, Alexandria via LeMat-Bulk).

- Formation energy: -0.01 eV per atom
- Space group: C2

Lattice parameters (Å, degrees): 4.912 7.991 4.911 90.00 109.27 90.00
Fractional coordinates of all 16 atoms:
1 Fe 0.000 0.000 0.000
2 Fe 0.247 0.251 0.251
3 Fe 0.253 0.751 0.749
4 Fe 0.500 0.500 0.000
5 Fe 0.747 0.751 0.251
6 Fe 0.753 0.251 0.749
7 Co 0.000 0.499 0.000
8 Co 0.000 0.508 0.500
9 Co 0.000 0.997 0.500
10 Co 0.249 0.752 0.249
11 Co 0.251 0.252 0.751
12 Co 0.500 0.008 0.500
13 Co 0.500 0.497 0.500
14 Co 0.500 0.999 0.000
15 Co 0.749 0.252 0.249
16 Co 0.751 0.752 0.751